(1)
{"formula": "Rb2TlFeO4", "functional": "PBE+U", "state": "relaxed", "final_energy_ev_per_cell": -39.70, "m_tot_mub_per_cell": 5.0, "rho_g_cm3": 5.26, "lattice_angstrom": [[-3.0826, 3.0826, 4.1153], [3.0826, -3.0826, 4.1153], [3.0826, 3.0826, -4.1153]], "species": ["Rb", "Rb", "Tl", "Fe", "O", "O", "O", "O"], "fractional_positions": [[0.0000, 0.0000, 0.0000], [0.7500, 0.2500, 0.5000], [0.2500, 0.7500, 0.5000], [0.5000, 0.5000, 0.0000], [0.2414, 0.6090, 0.0862], [0.3910, 0.4772, 0.6324], [0.5228, 0.1552, 0.9138], [0.8448, 0.7586, 0.3676]]}

---

(2)
{"formula": "Rb2Tm2FeO6", "functional": "PBE+U", "state": "relaxed", "final_energy_ev_per_cell": -70.67, "m_tot_mub_per_cell": 2.1, "rho_g_cm3": 5.99, "lattice_angstrom": [[2.8412, -4.8662, 0.0000], [2.8412, 4.8662, 0.0000], [-1.7847, 0.0000, 6.6225]], "species": ["Rb", "Rb", "Tm", "Tm", "Fe", "O", "O", "O", "O", "O", "O"], "fractional_positions": [[0.1650, 0.8350, 0.0000], [0.8350, 0.1650, 0.0000], [0.3350, 0.6650, 0.5000], [0.6650, 0.3350, 0.5000], [0.0000, 0.0000, 0.5000], [0.0490, 0.3521, 0.6604], [0.2490, 0.2490, 0.3380], [0.3521, 0.0490, 0.6604], [0.6479, 0.9510, 0.3396], [0.7510, 0.7510, 0.6620], [0.9510, 0.6479, 0.3396]]}